(1)
# PBE SrCeSi, relaxed
data_SrCeSi
_symmetry_space_group_name_H-M 'P 4/m m m'
_symmetry_Int_Tables_number 123
_symmetry_space_group_name_Hall '-P 4 2'
_cell_length_a 3.816
_cell_length_b 3.816
_cell_length_c 13.008
_cell_angle_alpha 90.00
_cell_angle_beta 90.00
_cell_angle_gamma 90.00
loop_
_atom_site_label
_atom_site_type_symbol
_atom_site_fract_x
_atom_site_fract_y
_atom_site_fract_z
Sr1 Sr 0.000 0.000 0.142
Ce1 Ce 0.500 0.500 0.397
Si1 Si 0.000 0.000 0.500
Si2 Si 0.500 0.500 0.000
# N(E_F): 11.35 states/eV per cell
# E_form (uncorrected): -0.58 eV per formula unit
# calculated volume: 189.4 Å³ per cell
# total energy: -4.5400 eV/atom

=====

(2)
# PBE SrCeSi3, relaxed
data_SrCeSi3
_symmetry_space_group_name_H-M 'C m c m'
_symmetry_Int_Tables_number 63
_symmetry_space_group_name_Hall '-C 2c 2'
_cell_length_a 4.375
_cell_length_b 25.709
_cell_length_c 4.031
_cell_angle_alpha 90.00
_cell_angle_beta 90.00
_cell_angle_gamma 90.00
loop_
_atom_site_label
_atom_site_type_symbol
_atom_site_fract_x
_atom_site_fract_y
_atom_site_fract_z
Sr1 Sr 0.000 0.201 0.250
Ce1 Ce 0.000 0.067 0.750
Si1 Si 0.000 0.337 0.250
Si2 Si 0.000 0.388 0.750
Si3 Si 0.000 0.478 0.750
# N(E_F): 18.57 states/eV per cell
# E_form (uncorrected): -2.73 eV per formula unit
# calculated volume: 453.4 Å³ per cell
# total energy: -5.3223 eV/atom

=====

(3)
# PBE SrCeSi4, relaxed
data_SrCeSi4
_symmetry_space_group_name_H-M 'P b a m'
_symmetry_Int_Tables_number 55
_cell_length_a 7.620
_cell_length_b 16.177
_cell_length_c 4.446
_cell_angle_alpha 90.00
_cell_angle_beta 90.00
_cell_angle_gamma 90.00
loop_
_symmetry_equiv_pos_as_xyz
'x,y,z'
'-x,-y,-z'
'-x,-y,z'
'x,y,-z'
'x+1/2,-y+1/2,-z'
'-x+1/2,y+1/2,z'
'-x+1/2,y+1/2,-z'
'x+1/2,-y+1/2,z'
loop_
_atom_site_label
_atom_site_type_symbol
_atom_site_fract_x
_atom_site_fract_y
_atom_site_fract_z
Sr1 Sr 0.127 0.160 0.000
Ce1 Ce 0.131 0.413 0.000
Si1 Si 0.027 0.690 0.500
Si2 Si 0.116 0.949 0.500
Si3 Si 0.131 0.543 0.500
Si4 Si 0.215 0.806 0.500
# N(E_F): 23.10 states/eV per cell
# E_form (uncorrected): -2.16 eV per formula unit
# calculated volume: 548.1 Å³ per cell
# total energy: -5.2439 eV/atom

=====

(4)
# PBE CeTaSi, relaxed
data_CeTaSi
_symmetry_space_group_name_H-M 'I 4/m m m'
_symmetry_Int_Tables_number 139
_symmetry_space_group_name_Hall '-I 4 2'
_cell_length_a 4.003
_cell_length_b 4.003
_cell_length_c 16.059
_cell_angle_alpha 90.00
_cell_angle_beta 90.00
_cell_angle_gamma 90.00
loop_
_atom_site_label
_atom_site_type_symbol
_atom_site_fract_x
_atom_site_fract_y
_atom_site_fract_z
Ce1 Ce 0.000 0.000 0.177
Ta1 Ta 0.000 0.500 0.000
Si1 Si 0.000 0.000 0.384
# N(E_F): 20.71 states/eV per cell
# E_form (uncorrected): -1.40 eV per formula unit
# calculated volume: 257.4 Å³ per cell
# total energy: -8.2034 eV/atom

=====

(5)
# PBE Ce2Ta3Si4, relaxed
data_Ce2Ta3Si4
_symmetry_space_group_name_H-M 'P 1 21/c 1'
_symmetry_Int_Tables_number 14
_cell_length_a 7.091
_cell_length_b 7.092
_cell_length_c 6.974
_cell_angle_alpha 90.00
_cell_angle_beta 109.23
_cell_angle_gamma 90.00
loop_
_symmetry_equiv_pos_as_xyz
'x,y,z'
'-x,-y,-z'
'-x,y+1/2,-z+1/2'
'x,-y+1/2,z+1/2'
loop_
_atom_site_label
_atom_site_type_symbol
_atom_site_fract_x
_atom_site_fract_y
_atom_site_fract_z
Ce1 Ce 0.186 0.166 0.064
Ta1 Ta 0.255 0.672 0.249
Ta2 Ta 0.500 0.000 0.500
Si1 Si 0.087 0.541 0.870
Si2 Si 0.496 0.128 0.871
# N(E_F): 16.01 states/eV per cell
# E_form (uncorrected): -6.14 eV per formula unit
# calculated volume: 331.2 Å³ per cell
# total energy: -8.3621 eV/atom

=====

(6)
# PBE CeTaSi, relaxed
data_CeTaSi
_symmetry_space_group_name_H-M 'P 42/m'
_symmetry_Int_Tables_number 84
_cell_length_a 8.386
_cell_length_b 8.386
_cell_length_c 3.620
_cell_angle_alpha 90.00
_cell_angle_beta 90.00
_cell_angle_gamma 90.00
loop_
_symmetry_equiv_pos_as_xyz
'x,y,z'
'-x,-y,-z'
'-y,x,z+1/2'
'y,-x,-z+1/2'
'-x,-y,z'
'x,y,-z'
'y,-x,z+1/2'
'-y,x,-z+1/2'
loop_
_atom_site_label
_atom_site_type_symbol
_atom_site_fract_x
_atom_site_fract_y
_atom_site_fract_z
Ce1 Ce 0.083 0.256 0.000
Ta1 Ta 0.348 0.614 0.000
Si1 Si 0.135 0.550 0.500
# N(E_F): 20.04 states/eV per cell
# E_form (uncorrected): -1.16 eV per formula unit
# calculated volume: 254.6 Å³ per cell
# total energy: -8.1239 eV/atom

=====

(7)
# PBE CeTaSi2, relaxed
data_CeTaSi2
_symmetry_space_group_name_H-M 'R -3 m'
_symmetry_Int_Tables_number 166
_symmetry_space_group_name_Hall '-R 3 2"'
_cell_length_a 3.8394
_cell_length_b 3.8394
_cell_length_c 19.4774
_cell_angle_alpha 90.00
_cell_angle_beta 90.00
_cell_angle_gamma 120.00
loop_
_atom_site_label
_atom_site_type_symbol
_atom_site_fract_x
_atom_site_fract_y
_atom_site_fract_z
Ce1 Ce 0.0000 0.0000 0.0000
Ta1 Ta 0.0000 0.0000 0.5000
Si1 Si 0.0000 0.0000 0.2377
# N(E_F): 10.55 states/eV per cell
# E_form (uncorrected): -1.50 eV per formula unit
# calculated volume: 248.7 Å³ per cell
# total energy: -7.5333 eV/atom

=====

(8)
# PBE CeTaSi2, relaxed
data_CeTaSi2
_symmetry_space_group_name_H-M 'A m m 2'
_symmetry_Int_Tables_number 38
_cell_length_a 3.045
_cell_length_b 6.369
_cell_length_c 8.033
_cell_angle_alpha 90.00
_cell_angle_beta 90.00
_cell_angle_gamma 90.00
loop_
_symmetry_equiv_pos_as_xyz
'x,y,z'
'-x,-y,z'
'-x,y,z'
'x,-y,z'
'x,y+1/2,z+1/2'
'-x,-y+1/2,z+1/2'
'-x,y+1/2,z+1/2'
'x,-y+1/2,z+1/2'
loop_
_atom_site_label
_atom_site_type_symbol
_atom_site_fract_x
_atom_site_fract_y
_atom_site_fract_z
Ce1 Ce 0.000 0.000 0.000
Ta1 Ta 0.500 0.000 0.589
Si1 Si 0.500 0.189 0.298
# N(E_F): 10.54 states/eV per cell
# E_form (uncorrected): -0.91 eV per formula unit
# calculated volume: 155.8 Å³ per cell
# total energy: -7.3863 eV/atom